(1)
A geometry-optimized HfSc2HgH structure, computed with PBE-GGA.

Summary:
- Final energy: -5.494 eV per atom
- Total moment: 0.00 μB per formula unit
- Symmetry: P4/mmm

```
5
Lattice="4.4705 0.0000 0.0000 0.0000 4.4705 0.0000 0.0000 0.0000 4.3838" Properties=species:S:1:pos:R:3 pbc="T T T"
Hf 0.0000 0.0000 2.1919
Sc 0.0000 2.2352 0.0000
Sc 2.2352 0.0000 0.0000
H 0.0000 0.0000 0.0000
Hg 2.2352 2.2352 2.1919
```



(2)
A geometry-optimized Hf2TaHgH structure, computed with PBE-GGA.

Summary:
- Final energy: -7.148 eV per atom
- Total moment: 0.00 μB per formula unit
- Symmetry: P4/mmm

```
5
Lattice="-3.9425 1.5899 1.4048 -1.0058 -4.0107 1.7166 1.7160 1.0986 3.5723" Properties=species:S:1:pos:R:3 pbc="T T T"
Ta 0.8580 0.5493 1.7862
Hg -1.6161 -0.6611 3.3469
Hf -0.5029 -2.0054 0.8583
Hf -1.9712 0.7950 0.7024
H 0.0000 0.0000 0.0000
```



(3)
A geometry-optimized Hf2TaHgH structure, computed with PBE-GGA.

Summary:
- Final energy: -6.360 eV per atom
- Total moment: 0.00 μB per formula unit
- Symmetry: P4/mmm

```
5
Lattice="5.4418 0.0000 0.0000 0.0000 5.4418 0.0000 0.0000 0.0000 3.3559" Properties=species:S:1:pos:R:3 pbc="T T T"
Hf 2.7209 0.0000 0.0000
Hf 0.0000 2.7209 0.0000
H 0.0000 0.0000 1.6780
Ta 0.0000 0.0000 0.0000
Hg 2.7209 2.7209 1.6780
```



(4)
A geometry-optimized HfTc2HgH structure, computed with PBE-GGA.

Summary:
- Final energy: -6.678 eV per atom
- Total moment: 0.00 μB per formula unit
- Symmetry: P4/mmm

```
5
Lattice="4.1262 0.0000 0.0000 0.0000 4.1573 0.0000 0.0000 0.0000 4.1262" Properties=species:S:1:pos:R:3 pbc="T T T"
Tc 2.0631 0.0000 0.0000
Tc 0.0000 0.0000 2.0631
H 0.0000 0.0000 0.0000
Hf 2.0631 2.0786 2.0631
Hg 0.0000 2.0786 0.0000
```



(5)
A geometry-optimized HfHgTeH2 structure, computed with PBE-GGA.

Summary:
- Final energy: -3.249 eV per atom
- Total moment: 1.39 μB per formula unit
- Symmetry: P4/mmm

```
5
Lattice="4.0353 0.0000 0.0000 0.0000 6.4749 0.0000 0.0000 0.0000 4.0353" Properties=species:S:1:pos:R:3 pbc="T T T"
Hg 0.0000 3.2375 0.0000
Te 0.0000 0.0000 0.0000
H 2.0177 0.0000 0.0000
H 0.0000 0.0000 2.0177
Hf 2.0177 3.2375 2.0177
```



(6)
A geometry-optimized HfHgTeH2 structure, computed with PBE-GGA.

Summary:
- Final energy: -3.542 eV per atom
- Total moment: 0.00 μB per formula unit
- Symmetry: P4/mmm

```
5
Lattice="4.0730 0.0000 0.0000 0.0000 5.8121 0.0000 0.0000 0.0000 4.0730" Properties=species:S:1:pos:R:3 pbc="T T T"
H 0.0000 0.0000 2.0365
H 2.0365 0.0000 0.0000
Hf 0.0000 2.9060 0.0000
Hg 2.0365 2.9060 2.0365
Te 0.0000 0.0000 0.0000
```



(7)
A geometry-optimized Y2HfHgH structure, computed with PBE-GGA.

Summary:
- Final energy: -5.464 eV per atom
- Total moment: 0.43 μB per formula unit
- Symmetry: P4/mmm

```
5
Lattice="4.7582 0.0000 0.0000 0.0000 4.7582 0.0000 0.0000 0.0000 4.5463" Properties=species:S:1:pos:R:3 pbc="T T T"
Y 2.3791 0.0000 0.0000
Y 0.0000 2.3791 0.0000
H 0.0000 0.0000 0.0000
Hg 2.3791 2.3791 2.2732
Hf 0.0000 0.0000 2.2732
```



(8)
A geometry-optimized Hf2ZnHgH structure, computed with PBE-GGA.

Summary:
- Final energy: -5.076 eV per atom
- Total moment: 0.00 μB per formula unit
- Symmetry: P4/mmm

```
5
Lattice="-2.4673 0.9210 3.3945 -3.2073 -2.2909 -1.7097 1.4548 -3.5433 2.0188" Properties=species:S:1:pos:R:3 pbc="T T T"
Hf -1.6036 -1.1455 -0.8548
Hf -1.2336 0.4605 1.6972
Zn 0.7274 -1.7716 1.0094
Hg -2.1099 -2.4566 1.8518
H 0.0000 0.0000 0.0000
```



(9)
A geometry-optimized HoHf2H structure, computed with PBE-GGA.

Summary:
- Final energy: -6.818 eV per atom
- Total moment: 0.00 μB per formula unit
- Symmetry: R-3m

```
4
Lattice="-1.3118 -1.9224 -2.2348 1.4788 -0.4188 -2.8370 4.3752 -7.4985 1.5527" Properties=species:S:1:pos:R:3 pbc="T T T"
Ho 0.0000 0.0000 0.0000
H 2.2711 -4.9199 -1.7596
Hf 1.7066 -4.7357 -3.9158
Hf 2.8356 -5.1040 0.3967
```



(10)
A geometry-optimized HoHfH4 structure, computed with PBE-GGA.

Summary:
- Final energy: -5.263 eV per atom
- Total moment: 0.00 μB per formula unit
- Symmetry: P4/mmm

```
6
Lattice="-2.4833 -2.1614 0.8157 1.7338 -2.5351 -1.4389 2.3016 -0.9597 4.4638" Properties=species:S:1:pos:R:3 pbc="T T T"
Hf 2.8723 -3.0091 0.7896
H 1.4884 -1.5260 0.5061
H 1.1136 -3.8742 0.1944
H 2.1478 -4.3053 2.2004
H 2.5227 -1.9572 2.5122
Ho 1.9147 -3.3021 4.1488
```



(11)
A geometry-optimized Ho2HfH8 structure, computed with PBE-GGA.

Summary:
- Final energy: -4.667 eV per atom
- Total moment: 0.00 μB per formula unit
- Symmetry: Immm

```
11
Lattice="-1.8826 -2.7801 -1.4328 1.7503 -2.8856 3.2991 -4.0721 3.9845 2.2696" Properties=species:S:1:pos:R:3 pbc="T T T"
H -2.7458 -2.0871 3.0071
H -1.7514 -1.7676 1.0804
H -0.8811 -3.2024 2.7208
H -3.3233 1.5211 1.4151
H -5.5428 0.5253 1.6131
H 1.3384 -2.2065 2.5228
H -1.4585 0.4059 1.1288
H -2.4530 0.0864 3.0554
Hf -0.9413 -1.3901 -0.7164
Ho -3.6963 -0.6234 1.4158
Ho -0.5081 -1.0579 2.7201
```



(12)
A geometry-optimized HoHf3H structure, computed with PBE-GGA.

Summary:
- Final energy: -7.528 eV per atom
- Total moment: 0.00 μB per formula unit
- Symmetry: Pm-3m

```
5
Lattice="-3.0436 -3.3759 0.6288 1.3307 -1.9341 -3.9426 3.1657 -2.4327 2.2618" Properties=species:S:1:pos:R:3 pbc="T T T"
Ho 0.7264 -3.8714 -0.5260
Hf 0.6653 -0.9670 -1.9713
Hf 1.5828 -1.2164 1.1309
Hf -1.5218 -1.6880 0.3144
H 0.0000 0.0000 0.0000
```